# 1
## AlVO2 (PBE with a Hubbard U)

Data for crystalline AlVO2 at its relaxed geometry.

Calculated values
* polymorph energy (0 for the lowest one): 1.062 eV/atom
* D(E_F): 2.87 states/eV/cell
* SG: Fm-3m, No. 225
* crystal system: cubic
* size of the total moment: 0.131 μB per formula unit

abc: 3.7292 3.7292 3.7292
angles: 60.00 60.00 60.00
Last column: nearest neighbours and their distance in Å.
Element x y z (fractional)
Al (0.0000, 0.0000, 0.0000)  8 O 2.28
V (0.5000, 0.5000, 0.5000)  8 O 2.28
O (0.2500, 0.2500, 0.2500)  4 Al 2.28, 4 V 2.28
O (0.7500, 0.7500, 0.7500)  4 Al 2.28, 4 V 2.28

# 2
## Al2VO6 (PBE with a Hubbard U)

Data for crystalline Al2VO6 at its relaxed geometry.

Calculated values
* D(E_F): 8.92 states/eV/cell
* electronic total energy: -7.217 eV/atom
* SG: P4_2/mnm, No. 136
* crystal system: tetragonal
* size of the total moment: 0.387 μB per formula unit

abc: 4.4742 4.4742 8.5689
angles: 90.00 90.00 90.00
Last column: nearest neighbours and their distance in Å.
Element x y z (fractional)
Al (0.0000, 0.0000, 0.1664)  6 O 1.90-1.91
Al (0.0000, 0.0000, 0.8336)  6 O 1.90-1.91
Al (0.5000, 0.5000, 0.3336)  6 O 1.90-1.91
Al (0.5000, 0.5000, 0.6664)  6 O 1.90-1.91
V (0.0000, 0.0000, 0.5000)  6 O 1.88-1.91
V (0.5000, 0.5000, 0.0000)  6 O 1.88-1.91
O (0.1976, 0.1976, 0.0000)  2 Al 1.90, 1 V 1.91
O (0.1976, 0.1976, 0.3355)  1 V 1.88, 2 Al 1.91
O (0.1976, 0.1976, 0.6645)  1 V 1.88, 2 Al 1.91
O (0.3024, 0.6976, 0.1645)  1 V 1.88, 2 Al 1.91
O (0.3024, 0.6976, 0.5000)  2 Al 1.90, 1 V 1.91
O (0.3024, 0.6976, 0.8355)  1 V 1.88, 2 Al 1.91
O (0.6976, 0.3024, 0.1645)  1 V 1.88, 2 Al 1.91
O (0.6976, 0.3024, 0.5000)  2 Al 1.90, 1 V 1.91
O (0.6976, 0.3024, 0.8355)  1 V 1.88, 2 Al 1.91
O (0.8024, 0.8024, 0.0000)  2 Al 1.90, 1 V 1.91
O (0.8024, 0.8024, 0.3355)  1 V 1.88, 2 Al 1.91
O (0.8024, 0.8024, 0.6645)  1 V 1.88, 2 Al 1.91

# 3
## AlVO2 (PBE with a Hubbard U)

Data for crystalline AlVO2 at its relaxed geometry.

Calculated values
* polymorph energy (0 for the lowest one): 0.000 eV/atom
* D(E_F): 2.14 states/eV/cell
* SG: R-3m, No. 166
* crystal system: trigonal
* size of the total moment: 2.938 μB per formula unit

abc: 6.2709 6.2709 6.2709
angles: 26.73 26.73 26.73
Last column: nearest neighbours and their distance in Å.
Element x y z (fractional)
Al (0.0000, 0.0000, 0.0000)  6 O 1.94
V (0.5000, 0.5000, 0.5000)  2 O 2.05
O (0.3871, 0.3871, 0.3871)  3 Al 1.94, 1 V 2.05
O (0.6129, 0.6129, 0.6129)  3 Al 1.94, 1 V 2.05

# 4
## AlVO3 (PBE with a Hubbard U)

Data for crystalline AlVO3 at its relaxed geometry.

Calculated values
* D(E_F): 0.79 states/eV/cell
* electronic total energy: -7.048 eV/atom
* SG: Pm-3m, No. 221
* crystal system: cubic
* size of the total moment: 1.999 μB per formula unit

abc: 3.6410 3.6410 3.6410
angles: 90.00 90.00 90.00
Last column: nearest neighbours and their distance in Å.
Element x y z (fractional)
Al (0.0000, 0.0000, 0.0000)  6 O 1.82
V (0.5000, 0.5000, 0.5000)  12 O 2.57
O (0.0000, 0.0000, 0.5000)  2 Al 1.82
O (0.0000, 0.5000, 0.0000)  2 Al 1.82
O (0.5000, 0.0000, 0.0000)  2 Al 1.82

# 5
## AlVW2O8 (PBE with a Hubbard U)

Data for crystalline AlVW2O8 at its relaxed geometry.

Calculated values
* polymorph energy (0 for the lowest one): 0.149 eV/atom
* D(E_F): 0.00 states/eV/cell
* SG: P-1, No. 2
* crystal system: triclinic
* size of the total moment: 4.000 μB per formula unit

abc: 5.0175 5.5104 5.5584
angles: 73.66 85.82 72.29
Last column: nearest neighbours and their distance in Å.
Element x y z (fractional)
Al (0.0000, 0.0000, 0.0000)  4 O 1.80-1.92
V (0.5000, 0.0000, 0.5000)  4 O 1.95-2.11
W (0.2287, 0.5194, 0.6737)  3 O 1.85-2.02
W (0.7713, 0.4806, 0.3263)  3 O 1.85-2.02
O (0.1689, 0.2564, 0.9427)  1 Al 1.80, 1 W 1.85
O (0.1709, 0.3100, 0.4310)  1 V 1.95, 2 W 1.99-2.09
O (0.2594, 0.8276, 0.7861)  1 Al 1.92, 1 W 2.02, 1 V 2.11
O (0.3571, 0.7369, 0.3402)  2 W 2.08-2.14, 1 V 2.20
O (0.6429, 0.2631, 0.6598)  2 W 2.08-2.14, 1 V 2.20
O (0.7406, 0.1724, 0.2139)  1 Al 1.92, 1 W 2.02, 1 V 2.11
O (0.8291, 0.6900, 0.5690)  1 V 1.95, 2 W 1.99-2.09
O (0.8311, 0.7436, 0.0573)  1 Al 1.80, 1 W 1.85

# 6
## AlVW2O8 (PBE with a Hubbard U)

Data for crystalline AlVW2O8 at its relaxed geometry.

Calculated values
* polymorph energy (0 for the lowest one): 0.000 eV/atom
* D(E_F): 0.00 states/eV/cell
* SG: P2/c, No. 13
* crystal system: monoclinic
* size of the total moment: 4.000 μB per formula unit

abc: 5.1422 5.5476 10.5249
angles: 90.00 118.97 90.00
Last column: nearest neighbours and their distance in Å.
Element x y z (fractional)
Al (0.0000, 0.1565, 0.2500)  6 O 1.91-1.99
Al (0.0000, 0.8435, 0.7500)  6 O 1.91-1.99
V (0.5000, 0.1409, 0.7500)  6 O 2.02-2.10
V (0.5000, 0.8591, 0.2500)  6 O 2.02-2.10
W (0.2529, 0.3348, 0.0006)  6 O 1.90-2.11
W (0.2529, 0.6652, 0.5006)  6 O 1.90-2.11
W (0.7471, 0.3348, 0.4994)  6 O 1.90-2.11
W (0.7471, 0.6652, 0.9994)  6 O 1.90-2.11
O (0.2015, 0.3782, 0.6091)  1 V 2.02, 2 W 2.05-2.06
O (0.2015, 0.6218, 0.1091)  1 V 2.02, 2 W 2.05-2.06
O (0.2097, 0.1270, 0.1427)  1 Al 1.91, 1 W 1.98, 1 V 2.02
O (0.2097, 0.8730, 0.6427)  1 Al 1.91, 1 W 1.98, 1 V 2.02
O (0.2635, 0.1142, 0.8657)  1 W 1.90, 1 Al 1.99, 1 V 2.10
O (0.2635, 0.8858, 0.3657)  1 W 1.90, 1 Al 1.99, 1 V 2.10
O (0.2993, 0.3783, 0.3819)  1 Al 1.93, 2 W 2.03-2.11
O (0.2993, 0.6217, 0.8819)  1 Al 1.93, 2 W 2.03-2.11
O (0.7007, 0.3783, 0.1181)  1 Al 1.93, 2 W 2.03-2.11
O (0.7007, 0.6217, 0.6181)  1 Al 1.93, 2 W 2.03-2.11
O (0.7365, 0.1142, 0.6343)  1 W 1.90, 1 Al 1.99, 1 V 2.10
O (0.7365, 0.8858, 0.1343)  1 W 1.90, 1 Al 1.99, 1 V 2.10
O (0.7903, 0.1270, 0.3573)  1 Al 1.91, 1 W 1.98, 1 V 2.02
O (0.7903, 0.8730, 0.8573)  1 Al 1.91, 1 W 1.98, 1 V 2.02
O (0.7985, 0.3782, 0.8909)  1 V 2.02, 2 W 2.05-2.06
O (0.7985, 0.6218, 0.3909)  1 V 2.02, 2 W 2.05-2.06

# 7
## AlVWO6 (PBE with a Hubbard U)

Data for crystalline AlVWO6 at its relaxed geometry.

Calculated values
* electronic total energy: -7.596 eV/atom
* SG: P-31c, No. 163
* crystal system: trigonal
* size of the total moment: 2.000 μB per formula unit

abc: 4.9803 4.9803 8.9309
angles: 90.00 90.00 120.00
Last column: nearest neighbours and their distance in Å.
Element x y z (fractional)
Al (0.3333, 0.6667, 0.2500)  6 O 1.92
Al (0.6667, 0.3333, 0.7500)  6 O 1.92
V (0.0000, 0.0000, 0.0000)  6 O 2.09
V (0.0000, 0.0000, 0.5000)  6 O 2.09
W (0.3333, 0.6667, 0.7500)  6 O 1.95
W (0.6667, 0.3333, 0.2500)  6 O 1.95
O (0.0046, 0.3478, 0.1332)  1 Al 1.92, 1 W 1.95, 1 V 2.09
O (0.0046, 0.6568, 0.3668)  1 Al 1.92, 1 W 1.95, 1 V 2.09
O (0.3432, 0.3478, 0.3668)  1 Al 1.92, 1 W 1.95, 1 V 2.09
O (0.3432, 0.9954, 0.1332)  1 Al 1.92, 1 W 1.95, 1 V 2.09
O (0.3478, 0.0046, 0.6332)  1 Al 1.92, 1 W 1.95, 1 V 2.09
O (0.3478, 0.3432, 0.8668)  1 Al 1.92, 1 W 1.95, 1 V 2.09
O (0.6522, 0.6568, 0.1332)  1 Al 1.92, 1 W 1.95, 1 V 2.09
O (0.6522, 0.9954, 0.3668)  1 Al 1.92, 1 W 1.95, 1 V 2.09
O (0.6568, 0.0046, 0.8668)  1 Al 1.92, 1 W 1.95, 1 V 2.09
O (0.6568, 0.6522, 0.6332)  1 Al 1.92, 1 W 1.95, 1 V 2.09
O (0.9954, 0.3432, 0.6332)  1 Al 1.92, 1 W 1.95, 1 V 2.09
O (0.9954, 0.6522, 0.8668)  1 Al 1.92, 1 W 1.95, 1 V 2.09

# 8
## YAlV2O (PBE with a Hubbard U)

Data for crystalline YAlV2O at its relaxed geometry.

Calculated values
* D(E_F): 3.22 states/eV/cell
* electronic total energy: -5.193 eV/atom
* SG: P4/mmm, No. 123
* crystal system: tetragonal
* size of the total moment: 8.154 μB per formula unit

abc: 5.8660 5.8660 4.0975
angles: 90.00 90.00 90.00
Last column: nearest neighbours and their distance in Å.
Element x y z (fractional)
Y (0.0000, 0.0000, 0.0000)  2 O 2.05
Al (0.5000, 0.5000, 0.5000)  8 V 3.58
V (0.0000, 0.5000, 0.0000)  2 Y 2.93
V (0.5000, 0.0000, 0.0000)  2 Y 2.93
O (0.0000, 0.0000, 0.5000)  2 Y 2.05

Which formula does entry 8 have?
YAlV2O

Which formula does entry 3 have?
AlVO2